Density functional theory data (GGA-PBE) for a geometry-optimized Pu3Ga2Sn structure.

Computed properties:
* size of the total moment: 16.5 μB/f.u.
* total energy: -9.13 eV/atom
* E_form: -291 meV/atom

a b c (Å): 4.003 4.003 8.727
angles (deg): 90.00 90.00 90.00
Sites, in units of the cell vectors:
Pu (0.000, 0.000, 0.000)
Pu (0.000, 0.000, 0.327)
Pu (0.000, 0.000, 0.673)
Ga (0.500, 0.500, 0.160)
Ga (0.500, 0.500, 0.840)
Sn (0.500, 0.500, 0.500)

=====

Density functional theory data (GGA-PBE) for a geometry-optimized Pu2GaSn3 structure.

Computed properties:
* size of the total moment: 11.2 μB/f.u.
* total energy: -7.32 eV/atom
* E_form: -41 meV/atom

a b c (Å): 7.641 7.641 6.129
angles (deg): 90.00 90.00 65.39
Sites, in units of the cell vectors:
Pu (0.062, 0.711, 0.750)
Pu (0.289, 0.938, 0.750)
Pu (0.711, 0.062, 0.250)
Pu (0.938, 0.289, 0.250)
Ga (0.496, 0.504, 0.250)
Ga (0.504, 0.496, 0.750)
Sn (0.170, 0.830, 0.250)
Sn (0.298, 0.298, 0.000)
Sn (0.298, 0.298, 0.500)
Sn (0.702, 0.702, 0.000)
Sn (0.702, 0.702, 0.500)
Sn (0.830, 0.170, 0.750)

=====

Density functional theory data (GGA-PBE) for a geometry-optimized Pu4Ga3Sn structure.

Computed properties:
* size of the total moment: 22.1 μB/f.u.
* total energy: -9.12 eV/atom
* E_form: -315 meV/atom

a b c (Å): 4.468 4.513 9.004
angles (deg): 90.00 90.00 90.00
Sites, in units of the cell vectors:
Pu (0.000, 0.000, 0.000)
Pu (0.000, 0.000, 0.500)
Pu (0.000, 0.500, 0.237)
Pu (0.000, 0.500, 0.763)
Ga (0.500, 0.000, 0.245)
Ga (0.500, 0.000, 0.755)
Ga (0.500, 0.500, 0.000)
Sn (0.500, 0.500, 0.500)

=====

Density functional theory data (GGA-PBE) for a geometry-optimized Pu6GaSn2 structure.

Computed properties:
* size of the total moment: 36.2 μB/f.u.
* total energy: -10.90 eV/atom
* E_form: -121 meV/atom

a b c (Å): 8.913 8.913 3.263
angles (deg): 90.00 90.00 120.00
Sites, in units of the cell vectors:
Pu (0.000, 0.329, 0.000)
Pu (0.000, 0.671, 0.000)
Pu (0.329, 0.000, 0.000)
Pu (0.329, 0.329, 0.000)
Pu (0.671, 0.000, 0.000)
Pu (0.671, 0.671, 0.000)
Ga (0.000, 0.000, 0.500)
Sn (0.333, 0.667, 0.500)
Sn (0.667, 0.333, 0.500)

=====

Density functional theory data (GGA-PBE) for a geometry-optimized PuGa2Sn2 structure.

Computed properties:
* size of the total moment: 5.3 μB/f.u.
* total energy: -5.71 eV/atom
* E_form: -30 meV/atom

a b c (Å): 4.874 4.874 12.197
angles (deg): 90.00 90.00 120.00
Sites, in units of the cell vectors:
Pu (0.000, 0.000, 0.250)
Pu (0.000, 0.000, 0.750)
Ga (0.000, 0.000, 0.000)
Ga (0.000, 0.000, 0.500)
Ga (0.333, 0.667, 0.250)
Ga (0.667, 0.333, 0.750)
Sn (0.333, 0.667, 0.612)
Sn (0.333, 0.667, 0.888)
Sn (0.667, 0.333, 0.112)
Sn (0.667, 0.333, 0.388)

=====

Density functional theory data (GGA-PBE) for a geometry-optimized Pu2GaSn structure.

Computed properties:
* size of the total moment: 11.2 μB/f.u.
* total energy: -9.26 eV/atom
* E_form: -335 meV/atom

a b c (Å): 4.573 4.573 4.573
angles (deg): 90.00 90.00 90.00
Sites, in units of the cell vectors:
Pu (0.000, 0.500, 0.000)
Pu (0.500, 0.000, 0.000)
Ga (0.000, 0.000, 0.500)
Sn (0.500, 0.500, 0.500)

=====

Density functional theory data (GGA-PBE) for a geometry-optimized Pu6GaSn structure.

Computed properties:
* size of the total moment: 22.9 μB/f.u.
* total energy: -11.75 eV/atom
* E_form: -125 meV/atom

a b c (Å): 4.583 4.583 9.298
angles (deg): 90.00 90.00 90.00
Sites, in units of the cell vectors:
Pu (0.000, 0.000, 0.000)
Pu (0.000, 0.000, 0.500)
Pu (0.000, 0.500, 0.245)
Pu (0.000, 0.500, 0.755)
Pu (0.500, 0.000, 0.245)
Pu (0.500, 0.000, 0.755)
Ga (0.500, 0.500, 0.000)
Sn (0.500, 0.500, 0.500)

=====

Density functional theory data (GGA-PBE) for a geometry-optimized PuGaSn2 structure.

Computed properties:
* size of the total moment: 5.2 μB/f.u.
* total energy: -6.70 eV/atom
* E_form: -363 meV/atom
* relative energy among the computed polymorphs: 0 meV per atom

a b c (Å): 4.516 4.516 4.612
angles (deg): 90.00 90.00 90.00
Sites, in units of the cell vectors:
Pu (0.000, 0.000, 0.000)
Ga (0.500, 0.500, 0.000)
Sn (0.000, 0.500, 0.500)
Sn (0.500, 0.000, 0.500)

=====

Density functional theory data (GGA-PBE) for a geometry-optimized Pu2Ga3Sn3 structure.

Computed properties:
* size of the total moment: 10.8 μB/f.u.
* total energy: -6.58 eV/atom
* E_form: -361 meV/atom

a b c (Å): 4.434 4.493 9.039
angles (deg): 90.00 90.00 90.00
Sites, in units of the cell vectors:
Pu (0.000, 0.000, 0.246)
Pu (0.000, 0.000, 0.754)
Ga (0.500, 0.000, 0.000)
Ga (0.500, 0.500, 0.239)
Ga (0.500, 0.500, 0.761)
Sn (0.000, 0.500, 0.000)
Sn (0.000, 0.500, 0.500)
Sn (0.500, 0.000, 0.500)

=====

Density functional theory data (GGA-PBE) for a geometry-optimized Pu3Ga2Sn3 structure.

Computed properties:
* size of the total moment: 16.7 μB/f.u.
* total energy: -7.96 eV/atom
* E_form: -333 meV/atom

a b c (Å): 4.509 4.573 9.233
angles (deg): 90.00 90.00 90.00
Sites, in units of the cell vectors:
Pu (0.000, 0.000, 0.000)
Pu (0.500, 0.000, 0.257)
Pu (0.500, 0.000, 0.743)
Ga (0.000, 0.500, 0.243)
Ga (0.000, 0.500, 0.757)
Sn (0.000, 0.000, 0.500)
Sn (0.500, 0.500, 0.000)
Sn (0.500, 0.500, 0.500)

=====

Density functional theory data (GGA-PBE) for a geometry-optimized Pu2GaSn structure.

Computed properties:
* size of the total moment: 11.6 μB/f.u.
* total energy: -9.02 eV/atom
* E_form: -100 meV/atom

a b c (Å): 3.355 3.355 30.966
angles (deg): 90.00 90.00 120.00
Sites, in units of the cell vectors:
Pu (0.000, 0.000, 0.245)
Pu (0.000, 0.000, 0.755)
Pu (0.333, 0.667, 0.422)
Pu (0.333, 0.667, 0.911)
Pu (0.667, 0.333, 0.089)
Pu (0.667, 0.333, 0.578)
Ga (0.000, 0.000, 0.500)
Ga (0.333, 0.667, 0.167)
Ga (0.667, 0.333, 0.833)
Sn (0.000, 0.000, 0.000)
Sn (0.333, 0.667, 0.667)
Sn (0.667, 0.333, 0.333)

=====

Density functional theory data (GGA-PBE) for a geometry-optimized Pu2Ga9Sn structure.

Computed properties:
* size of the total moment: 11.2 μB/f.u.
* total energy: -5.19 eV/atom
* E_form: -200 meV/atom

a b c (Å): 4.296 4.296 13.100
angles (deg): 90.00 90.00 90.00
Sites, in units of the cell vectors:
Pu (0.000, 0.000, 0.166)
Pu (0.000, 0.000, 0.834)
Ga (0.000, 0.500, 0.000)
Ga (0.000, 0.500, 0.328)
Ga (0.000, 0.500, 0.672)
Ga (0.500, 0.000, 0.000)
Ga (0.500, 0.000, 0.328)
Ga (0.500, 0.000, 0.672)
Ga (0.500, 0.500, 0.156)
Ga (0.500, 0.500, 0.500)
Ga (0.500, 0.500, 0.844)
Sn (0.000, 0.000, 0.500)

=====

Density functional theory data (GGA-PBE) for a geometry-optimized PuGa4Sn structure.

Computed properties:
* size of the total moment: 6.3 μB/f.u.
* total energy: -5.19 eV/atom
* E_form: -121 meV/atom

a b c (Å): 5.604 5.604 5.604
angles (deg): 60.00 60.00 60.00
Sites, in units of the cell vectors:
Pu (0.000, 0.000, 0.000)
Ga (0.375, 0.375, 0.375)
Ga (0.375, 0.375, 0.875)
Ga (0.375, 0.875, 0.375)
Ga (0.875, 0.375, 0.375)
Sn (0.750, 0.750, 0.750)